No. 1
{
  "formula": "HoErCN2O2",
  "functional": "PBE",
  "state": "relaxed",
  "lattice_angstrom": [[3.667, 0.000, 0.000], [-1.833, 3.176, 0.000], [0.000, 0.000, 8.116]],
  "species": ["C", "Er", "Ho", "N", "N", "O", "O"],
  "fractional_positions": [[0.000, 0.000, 0.001], [0.333, 0.667, 0.324], [0.667, 0.333, 0.677], [0.000, 0.000, 0.153], [0.000, 0.000, 0.848], [0.667, 0.333, 0.396], [0.333, 0.667, 0.602]],
  "magmom_total_mub_per_atom": 0.001,
  "space_group": "P3m1",
  "crystal_system": "trigonal"
}


No. 2
{
  "formula": "CdCu2GeTe2Se2",
  "functional": "PBE",
  "state": "relaxed",
  "lattice_angstrom": [[6.513, -3.019, 0.000], [6.513, 3.019, 0.000], [-2.716, 0.000, 5.386]],
  "species": ["Cd", "Cu", "Cu", "Ge", "Se", "Se", "Te", "Te"],
  "fractional_positions": [[0.020, 0.980, 0.500], [0.254, 0.247, 0.226], [0.753, 0.746, 0.774], [0.478, 0.522, 0.000], [0.129, 0.600, 0.099], [0.400, 0.871, 0.901], [0.873, 0.406, 0.372], [0.594, 0.127, 0.628]],
  "space_group": "C2",
  "crystal_system": "monoclinic",
  "de_polymorph_kj_per_mol_atoms": 0.00
}


No. 3
{
  "formula": "CsBaSm",
  "functional": "PBE",
  "state": "relaxed",
  "lattice_angstrom": [[-1.589, -6.237, 1.871], [0.917, -1.930, 6.353], [-5.290, -1.061, 3.977]],
  "species": ["Ba", "Cs", "Sm"],
  "fractional_positions": [[0.250, 0.250, 0.250], [0.750, 0.750, 0.750], [0.000, 0.000, 0.000]],
  "magmom_total_mub_per_atom": 0.943,
  "space_group": "F-43m",
  "crystal_system": "cubic"
}


Number 1: electronic total energy -60.4 eV per cell. Number 2: electronic total energy -28.3 eV per cell. Number 3: electronic total energy -4.7 eV per cell.